Entry 1:
The following is a DFT calculation (PBE) of a relaxed LaCdB5O10 crystal.

Results
- Theoretical density: 4.49 g/cm³
- Uncorrected formation energy: -2.5003 eV per atom
- Fermi-level density of states: 0.00 states/eV/cell
- Volume: 10.13 Å³ per atom

a = 8.8759 Å, b = 7.9883 Å, c = 13.0405 Å
α = 90.00°, β = 131.87°, γ = 90.00°
Closest atoms and distances in Å follow each position.
Space group P2_1/c (No. 14)
Inequivalent atoms, fractional coordinates:
La: 0.0421 0.1769 0.2347 [4 per cell]  6 O 2.45-2.71
Cd: 0.4851 0.5914 0.8760 [4 per cell]  6 O 2.23-2.48
B: 0.0842 0.6735 0.5996 [4 per cell]  4 O 1.47-1.52
B: 0.1461 0.6047 0.9972 [4 per cell]  3 O 1.36-1.39
B: 0.2757 0.0296 0.0577 [4 per cell]  4 O 1.46-1.52
B: 0.3387 0.5781 0.2546 [4 per cell]  4 O 1.47-1.50
B: 0.4744 0.1741 0.9070 [4 per cell]  3 O 1.38-1.39
O: 0.0239 0.7320 0.9801 [4 per cell]  2 B 1.39-1.47
O: 0.0950 0.1093 0.9244 [4 per cell]  2 B 1.49-1.51
O: 0.1232 0.5557 0.8873 [4 per cell]  1 B 1.36
O: 0.1960 0.7127 0.2244 [4 per cell]  2 B 1.50-1.52
O: 0.2227 0.5319 0.6386 [4 per cell]  2 B 1.49-1.50
O: 0.2922 0.5346 0.1250 [4 per cell]  2 B 1.37-1.49
O: 0.3122 0.0756 0.8039 [4 per cell]  2 B 1.38-1.48
O: 0.3289 0.6196 0.5145 [4 per cell]  2 B 1.38-1.52
O: 0.4203 0.1710 0.4215 [4 per cell]  1 B 1.39
O: 0.4518 0.1401 0.1432 [4 per cell]  2 B 1.46-1.47

=====

Entry 2:
The following is a DFT calculation (PBE) of a relaxed La2CdBOs crystal.

Results
- Theoretical density: 8.12 g/cm³
- Formation enthalpy at 0 K: -0.161 eV/atom
- Fermi-level density of states: 4.31 states/eV/cell
- Volume: 24.18 Å³ per atom

a = 5.4581 Å, b = 5.4581 Å, c = 4.0579 Å
α = 90.00°, β = 90.00°, γ = 90.00°
Closest atoms and distances in Å follow each position.
Space group P4/mmm (No. 123)
Inequivalent atoms, fractional coordinates:
La: 0.0000 0.5000 0.0000 [2 per cell]  2 B 2.73
Cd: 0.0000 0.0000 0.5000 [1 per cell]  8 La 3.40
B: 0.5000 0.5000 0.0000 [1 per cell]  2 Os 2.03
Os: 0.5000 0.5000 0.5000 [1 per cell]  2 B 2.03

=====

Entry 3:
The following is a DFT calculation (PBE) of a relaxed La2CdBPd6 crystal.

Results
- Theoretical density: 8.86 g/cm³
- Formation enthalpy at 0 K: -0.659 eV/atom
- Fermi-level density of states: 3.28 states/eV/cell
- Volume: 19.47 Å³ per atom

a = 5.8452 Å, b = 5.8452 Å, c = 6.5812 Å
α = 90.00°, β = 90.00°, γ = 120.00°
Closest atoms and distances in Å follow each position.
Space group P-3m1 (No. 164)
Inequivalent atoms, fractional coordinates:
La: 0.3333 0.6667 0.2056 [2 per cell]  6 Pd 3.02
Cd: 0.0000 0.0000 0.0000 [1 per cell]  6 Pd 2.76
B: 0.0000 0.0000 0.5000 [1 per cell]  6 Pd 2.14
Pd: 0.1759 0.3518 0.6794 [6 per cell]  1 B 2.14

=====

Entry 4:
The following is a DFT calculation (PBE) of a relaxed La2CdB3Pt12 crystal.

Results
- Theoretical density: 14.03 g/cm³
- Formation enthalpy at 0 K: -0.394 eV/atom
- Fermi-level density of states: 18.61 states/eV/cell
- Volume: 18.17 Å³ per atom

a = 8.0532 Å, b = 8.0532 Å, c = 17.4743 Å
α = 90.00°, β = 90.00°, γ = 120.00°
Closest atoms and distances in Å follow each position.
Space group R-3m (No. 166, hexagonal axes)
Inequivalent atoms, fractional coordinates:
La: 0.0000 0.0000 0.1045 [6 per cell]  6 Pt 2.89-3.13
Cd: 0.0000 0.0000 0.5000 [3 per cell]  6 Pt 2.58
B: 0.0000 0.5000 0.0000 [9 per cell]  6 Pt 2.12-2.17
Pt: 0.0185 0.5092 0.8789 [18 per cell]  1 B 2.12
Pt: 0.0597 0.5299 0.3516 [18 per cell]  2 B 2.17